[1]
VASP calculation (PBE) on a relaxed Rb2HIrBr6 crystal.

Output
The calculation puts the total magnetization at 4.00 μB/cell. The final energy comes out at -3.0433 eV/atom.

a = 7.525 Å, b = 7.525 Å, c = 10.709 Å
α = 90.00°, β = 90.00°, γ = 90.00°
Space group I4/mmm (No. 139)
One atom of each set of equivalent atoms:
Rb 0.000 0.500 0.250 (multiplicity 4)
H 0.000 0.000 0.000 (multiplicity 2)
Ir 0.000 0.000 0.500 (multiplicity 2)
Br 0.000 0.000 0.266 (multiplicity 4)
Br 0.236 0.236 0.500 (multiplicity 8)



[2]
VASP calculation (PBE) on a relaxed SbH2IrBr crystal.

Output
The calculation puts the total magnetization at 0.00 μB/cell. The final energy comes out at -3.4670 eV/atom.

a = 3.947 Å, b = 3.947 Å, c = 5.123 Å
α = 90.00°, β = 90.00°, γ = 90.00°
Space group P4/mmm (No. 123)
One atom of each set of equivalent atoms:
Sb 0.000 0.000 0.000 (multiplicity 1)
H 0.000 0.500 0.500 (multiplicity 2)
Ir 0.500 0.500 0.500 (multiplicity 1)
Br 0.500 0.500 0.000 (multiplicity 1)



[3]
VASP calculation (PBE) on a relaxed HIrSe2Br crystal.

Output
The calculation puts the total magnetization at 0.46 μB/cell. The final energy comes out at -3.3755 eV/atom. The energy above the most stable polymorph in this dataset is 0.00 eV per formula unit.

a = 4.822 Å, b = 4.822 Å, c = 5.467 Å
α = 90.00°, β = 90.00°, γ = 90.00°
Space group P4/mmm (No. 123)
One atom of each set of equivalent atoms:
H 0.000 0.000 0.000 (multiplicity 1)
Ir 0.500 0.500 0.500 (multiplicity 1)
Se 0.000 0.500 0.500 (multiplicity 2)
Br 0.500 0.500 0.000 (multiplicity 1)



[4]
VASP calculation (PBE) on a relaxed HIrSe2Br crystal.

Output
The calculation puts the total magnetization at 0.00 μB/cell. The final energy comes out at -3.0996 eV/atom. The energy above the most stable polymorph in this dataset is 1.38 eV per formula unit.

a = 3.931 Å, b = 3.931 Å, c = 5.512 Å
α = 90.00°, β = 90.00°, γ = 90.00°
Space group P4/mmm (No. 123)
One atom of each set of equivalent atoms:
H 0.000 0.000 0.000 (multiplicity 1)
Ir 0.500 0.500 0.500 (multiplicity 1)
Se 0.000 0.500 0.000 (multiplicity 2)
Br 0.000 0.000 0.500 (multiplicity 1)